This record from the Alexandria database describes a geometry-optimized BeCrO4 structure. The functional is PBE+U.

Computed properties:
ΔE to the lowest computed polymorph = 81 meV per atom
total moment = 0.0 μB/f.u.
raw total energy = -161.77 eV for the cell shown
space group = P2_1/c, No. 14

Cell: 5.426 8.472 8.904 Å, 67.20 90.00 90.00°
Atoms (fractional coordinates):
1 O 0.500 0.266 0.515
2 O 0.998 0.464 0.698
3 O 0.744 0.169 0.797
4 O 0.256 0.831 0.203
5 O 0.244 0.831 0.703
6 O 0.000 0.266 0.015
7 O 0.251 0.169 0.795
8 O 0.002 0.536 0.302
9 O 0.749 0.831 0.205
10 O 0.498 0.536 0.802
11 O 0.751 0.831 0.705
12 O 0.000 0.734 0.985
13 O 0.500 0.734 0.485
14 O 0.249 0.169 0.295
15 O 0.756 0.169 0.297
16 O 0.502 0.464 0.198
17 Be 0.002 0.202 0.202
18 Be 0.502 0.798 0.298
19 Be 0.498 0.202 0.702
20 Be 0.998 0.798 0.798
21 Cr 0.998 0.270 0.824
22 Cr 0.002 0.730 0.176
23 Cr 0.502 0.270 0.324
24 Cr 0.498 0.730 0.676